First-principles (PBE) data for crystalline Sm8ThIr6 at its relaxed geometry, as listed in Alexandria via LeMat-Bulk.

abc: 7.8930 7.8930 7.8930
angles: 64.38 64.38 64.38
Fractional coordinates of all 15 atoms:
Sm (0.0373, 0.7274, 0.3966)
Sm (0.1616, 0.1616, 0.1616)
Sm (0.2726, 0.6034, 0.9627)
Sm (0.3966, 0.0373, 0.7274)
Sm (0.6034, 0.9627, 0.2726)
Sm (0.7274, 0.3966, 0.0373)
Sm (0.8384, 0.8384, 0.8384)
Sm (0.9627, 0.2726, 0.6034)
Th (0.5000, 0.5000, 0.5000)
Ir (0.1213, 0.4418, 0.7679)
Ir (0.2321, 0.8787, 0.5582)
Ir (0.4418, 0.7679, 0.1213)
Ir (0.5582, 0.2321, 0.8787)
Ir (0.7679, 0.1213, 0.4418)
Ir (0.8787, 0.5582, 0.2321)

Output
E (eV per atom): -7.243
ΔE_f (meV per atom): -687